(1)
Below is an optimized crystal structure of Li3MgPa2N6, with properties calculated at the PBE level.

```
Li3MgPa2N6
1.0
2.826 -5.241 0.000
2.826 5.241 0.000
-1.569 0.000 5.068
Li Mg Pa N
3 1 2 6
Cartesian
0.000 0.000 0.000 Li
2.826 1.515 0.000 Li
2.826 -1.515 0.000 Li
2.042 0.000 2.534 Mg
2.042 3.543 2.534 Pa
2.042 -3.543 2.534 Pa
0.969 1.767 1.389 N
0.168 0.000 3.705 N
0.969 -1.767 1.389 N
3.115 1.767 3.679 N
3.916 0.000 1.363 N
3.115 -1.767 3.679 N
```

As for the spin magnetization: 0.00 μB per formula unit. For the raw formation energy, the calculation gives -0.752 eV/atom. As for the space group: C2/m (12).

=====

(2)
Below is an optimized crystal structure of LiMgPa2N4, with properties calculated at the PBE level.

```
LiMgPa2N4
1.0
5.547 0.000 0.000
0.000 3.516 0.000
-2.220 0.000 5.688
Li Mg Pa N
1 1 2 4
Cartesian
0.000 0.000 0.000 Li
-1.110 1.758 2.844 Mg
1.663 0.000 2.844 Pa
2.773 1.758 0.000 Pa
-0.195 0.000 4.258 N
0.981 1.758 1.508 N
2.346 1.758 4.180 N
3.522 0.000 1.431 N
```

As for the spin magnetization: 0.80 μB per formula unit. For the raw formation energy, the calculation gives -1.202 eV/atom. As for the space group: P2/m (10).

=====

(3)
Below is an optimized crystal structure of LiMg2PaN4, with properties calculated at the PBE level.

```
LiMg2PaN4
1.0
1.651 -5.325 0.000
1.651 5.325 0.000
0.000 0.000 10.312
Li Mg Pa N
2 4 2 8
Cartesian
1.651 3.801 7.734 Li
1.651 -3.801 2.578 Li
1.651 1.341 0.540 Mg
1.651 1.341 4.616 Mg
1.651 -1.341 5.696 Mg
1.651 -1.341 9.771 Mg
1.651 4.102 2.578 Pa
1.651 -4.102 7.734 Pa
0.000 0.000 0.000 N
0.000 0.000 5.156 N
1.651 2.358 6.477 N
1.651 2.358 8.990 N
1.651 0.369 2.578 N
1.651 -0.369 7.734 N
1.651 -2.358 1.322 N
1.651 -2.358 3.834 N
```

As for the spin magnetization: 1.66 μB per formula unit. For the raw formation energy, the calculation gives -0.644 eV/atom. As for the space group: Cmcm (63).

=====

(4)
Below is an optimized crystal structure of LiMg3Pa3N8, with properties calculated at the PBE level.

```
LiMg3Pa3N8
1.0
3.421 1.975 5.053
-3.421 1.975 5.053
0.000 -3.951 5.053
Li Mg Pa N
1 3 3 8
Cartesian
0.000 0.000 0.000 Li
-3.421 0.000 7.580 Mg
-1.711 0.988 2.527 Mg
1.711 0.988 2.527 Mg
-1.711 -0.988 5.053 Pa
-1.711 0.988 10.106 Pa
0.000 1.975 5.053 Pa
0.000 -1.946 6.197 N
-1.685 0.973 6.197 N
0.000 0.000 3.769 N
-1.685 -0.973 8.963 N
1.685 0.973 6.197 N
0.000 0.000 11.390 N
1.685 -0.973 8.963 N
0.000 1.946 8.963 N
```

As for the spin magnetization: 1.67 μB per formula unit. For the raw formation energy, the calculation gives -0.883 eV/atom. As for the space group: R-3m (166).

=====

(5)
Below is an optimized crystal structure of LiMg2Pa3N6, with properties calculated at the PBE level.

```
LiMg2Pa3N6
1.0
7.244 -1.743 0.000
7.244 1.743 0.000
-0.840 0.000 6.523
Li Mg Pa N
1 2 3 6
Cartesian
0.000 0.000 0.000 Li
4.174 0.000 4.267 Mg
9.475 0.000 2.256 Mg
-0.420 0.000 3.262 Pa
4.789 0.000 1.010 Pa
8.859 0.000 5.514 Pa
1.903 0.000 3.868 N
2.519 0.000 0.582 N
7.023 0.000 1.753 N
6.625 0.000 4.770 N
11.129 0.000 5.941 N
11.745 0.000 2.655 N
```

As for the spin magnetization: 1.44 μB per formula unit. For the raw formation energy, the calculation gives -1.189 eV/atom. As for the space group: C2/m (12).

=====

(6)
Below is an optimized crystal structure of LiMg2PbN, with properties calculated at the PBE level.

```
LiMg2PbN
1.0
4.244 0.000 0.000
0.000 4.244 0.000
0.000 0.000 4.733
Li Mg Pb N
1 2 1 1
Cartesian
0.000 0.000 0.000 Li
0.000 2.122 2.367 Mg
2.122 0.000 2.367 Mg
2.122 2.122 0.000 Pb
0.000 0.000 2.367 N
```

As for the spin magnetization: 0.00 μB per formula unit. For the raw formation energy, the calculation gives -0.300 eV/atom. As for the space group: P4/mmm (123).

=====

(7)
Below is an optimized crystal structure of LiMg2PdN, with properties calculated at the PBE level.

```
LiMg2PdN
1.0
4.214 0.000 0.000
0.000 4.214 0.000
0.000 0.000 4.000
Li Mg Pd N
1 2 1 1
Cartesian
0.000 0.000 0.000 Li
0.000 2.107 2.000 Mg
2.107 0.000 2.000 Mg
2.107 2.107 0.000 Pd
0.000 0.000 2.000 N
```

As for the spin magnetization: 0.00 μB per formula unit. For the raw formation energy, the calculation gives -0.488 eV/atom. As for the space group: P4/mmm (123).

=====

(8)
Below is an optimized crystal structure of LiPu3Mg4N8, with properties calculated at the PBE level.

```
LiPu3Mg4N8
1.0
3.307 1.909 5.161
-3.307 1.909 5.161
0.000 -3.819 5.161
Li Pu Mg N
1 3 4 8
Cartesian
0.000 0.000 0.000 Li
-1.654 -0.955 5.161 Pu
-1.654 0.955 10.322 Pu
0.000 1.909 5.161 Pu
-3.307 0.000 7.742 Mg
-1.654 0.955 2.581 Mg
1.654 0.955 2.581 Mg
0.000 0.000 7.742 Mg
0.000 0.000 3.840 N
0.000 -1.793 6.375 N
-1.553 0.896 6.375 N
-1.553 -0.896 9.109 N
1.553 0.896 6.375 N
1.553 -0.896 9.109 N
0.000 1.793 9.109 N
0.000 0.000 11.643 N
```

As for the spin magnetization: 9.00 μB per formula unit. For the raw formation energy, the calculation gives -0.883 eV/atom. As for the space group: R-3m (166).

=====

- Which of these has the lowest raw formation energy?
  LiMgPa2N4

=====

Copy entry 1 word for word.
Below is an optimized crystal structure of Li3MgPa2N6, with properties calculated at the PBE level.

```
Li3MgPa2N6
1.0
2.826 -5.241 0.000
2.826 5.241 0.000
-1.569 0.000 5.068
Li Mg Pa N
3 1 2 6
Cartesian
0.000 0.000 0.000 Li
2.826 1.515 0.000 Li
2.826 -1.515 0.000 Li
2.042 0.000 2.534 Mg
2.042 3.543 2.534 Pa
2.042 -3.543 2.534 Pa
0.969 1.767 1.389 N
0.168 0.000 3.705 N
0.969 -1.767 1.389 N
3.115 1.767 3.679 N
3.916 0.000 1.363 N
3.115 -1.767 3.679 N
```

As for the spin magnetization: 0.00 μB per formula unit. For the raw formation energy, the calculation gives -0.752 eV/atom. As for the space group: C2/m (12).